YSc2S, relaxed, DFT PBE; total magnetic moment = 0.146 μB/atom; Fermi-level density of states = 0.87 states/eV per atom; E = -26.9 eV per cell
1.0
1.783 1.030 8.619
-1.783 1.030 8.619
0.000 -2.059 8.619
Y Sc S
1 2 1
Direct
0.000 0.000 0.000
0.559 0.559 0.559
0.775 0.775 0.775
0.167 0.167 0.167